1.
The following is a PBE calculation of a geometry-optimized AlVMo3 structure, from Alexandria.

Results
E above lowest polymorph (kJ per mole of atoms): 94.1

a b c (Å): 4.5215 4.5215 4.5215
angles (deg): 90.00 90.00 90.00
Closest atoms and distances in Å follow each position.
Fractional coordinates of all 5 atoms:
1 Al 0.0000 0.0000 0.0000  12 Mo 3.20
2 V 0.5000 0.5000 0.5000  6 Mo 2.26
3 Mo 0.0000 0.5000 0.5000  2 V 2.26
4 Mo 0.5000 0.0000 0.5000  2 V 2.26
5 Mo 0.5000 0.5000 0.0000  2 V 2.26



2.
The following is a PBE calculation of a geometry-optimized Al4V3Mo structure, from Alexandria.

a b c (Å): 7.9462 5.4222 5.4530
angles (deg): 90.00 90.00 90.00
Closest atoms and distances in Å follow each position.
Fractional coordinates of all 16 atoms:
1 Al 0.0000 0.0000 0.0000  6 Al 2.71-2.76, 6 V 2.73-2.76
2 Al 0.0000 0.5000 0.0000  6 Al 2.71-2.77, 2 Mo 2.73, 4 V 2.77
3 Al 0.2500 0.2470 0.2500  6 V 2.69-2.76, 4 Al 2.76-2.77, 2 Mo 2.77
4 Al 0.2500 0.7530 0.7500  6 V 2.69-2.76, 4 Al 2.76-2.77, 2 Mo 2.77
5 Al 0.5000 0.0000 0.5000  6 Al 2.71-2.76, 6 V 2.73-2.76
6 Al 0.5000 0.5000 0.5000  6 Al 2.71-2.77, 2 Mo 2.73, 4 V 2.77
7 Al 0.7500 0.2470 0.2500  6 V 2.69-2.76, 4 Al 2.76-2.77, 2 Mo 2.77
8 Al 0.7500 0.7530 0.7500  6 V 2.69-2.76, 4 Al 2.76-2.77, 2 Mo 2.77
9 V 0.0000 0.0000 0.5000  2 Mo 2.71, 6 Al 2.73-2.76, 4 V 2.76
10 V 0.2500 0.2483 0.7500  8 Al 2.69-2.77, 2 V 2.76, 2 Mo 2.77
11 V 0.2500 0.7517 0.2500  8 Al 2.69-2.77, 2 V 2.76, 2 Mo 2.77
12 V 0.5000 0.0000 0.0000  2 Mo 2.71, 6 Al 2.73-2.76, 4 V 2.76
13 V 0.7500 0.2483 0.7500  8 Al 2.69-2.77, 2 V 2.76, 2 Mo 2.77
14 V 0.7500 0.7517 0.2500  8 Al 2.69-2.77, 2 V 2.76, 2 Mo 2.77
15 Mo 0.0000 0.5000 0.5000  6 V 2.71-2.77, 6 Al 2.73-2.77
16 Mo 0.5000 0.5000 0.0000  6 V 2.71-2.77, 6 Al 2.73-2.77



3.
The following is a PBE calculation of a geometry-optimized AlVMo2 structure, from Alexandria.

a b c (Å): 3.8221 3.8221 4.1270
angles (deg): 90.00 90.00 90.00
Closest atoms and distances in Å follow each position.
Fractional coordinates of all 4 atoms:
1 Al 0.0000 0.0000 0.0000  4 V 2.70, 8 Mo 2.81
2 V 0.5000 0.5000 0.0000  4 Al 2.70, 8 Mo 2.81
3 Mo 0.0000 0.5000 0.5000  4 Mo 2.70, 4 Al 2.81, 4 V 2.81
4 Mo 0.5000 0.0000 0.5000  4 Mo 2.70, 4 Al 2.81, 4 V 2.81



4.
The following is a PBE calculation of a geometry-optimized Al2V8Mo structure, from Alexandria.

a b c (Å): 4.1001 4.1001 9.6293
angles (deg): 90.00 90.00 90.00
Closest atoms and distances in Å follow each position.
Fractional coordinates of all 11 atoms:
1 Al 0.0000 0.0000 0.1750  12 V 2.62-2.90
2 Al 0.0000 0.0000 0.8250  12 V 2.62-2.90
3 V 0.0000 0.5000 0.0000  8 V 2.62-2.90, 4 Al 2.65
4 V 0.0000 0.5000 0.3451  2 Mo 2.54, 2 Al 2.62, 2 V 2.66
5 V 0.0000 0.5000 0.6549  2 Mo 2.54, 2 Al 2.62, 2 V 2.66
6 V 0.5000 0.0000 0.0000  8 V 2.62-2.90, 4 Al 2.65
7 V 0.5000 0.0000 0.3451  2 Mo 2.54, 2 Al 2.62, 2 V 2.66
8 V 0.5000 0.0000 0.6549  2 Mo 2.54, 2 Al 2.62, 2 V 2.66
9 V 0.5000 0.5000 0.1692  8 V 2.62-2.66, 4 Al 2.90
10 V 0.5000 0.5000 0.8308  8 V 2.62-2.66, 4 Al 2.90
11 Mo 0.0000 0.0000 0.5000  8 V 2.54



5.
The following is a PBE calculation of a geometry-optimized AlV4Mo3 structure, from Alexandria.

a b c (Å): 4.3604 4.3604 6.1231
angles (deg): 90.00 90.00 90.00
Closest atoms and distances in Å follow each position.
Fractional coordinates of all 8 atoms:
1 Al 0.0000 0.0000 0.0000  8 V 2.69
2 V 0.0000 0.5000 0.2586  6 Mo 2.63-2.69, 2 Al 2.69
3 V 0.0000 0.5000 0.7414  6 Mo 2.63-2.69, 2 Al 2.69
4 V 0.5000 0.0000 0.2586  6 Mo 2.63-2.69, 2 Al 2.69
5 V 0.5000 0.0000 0.7414  6 Mo 2.63-2.69, 2 Al 2.69
6 Mo 0.0000 0.0000 0.5000  8 V 2.63
7 Mo 0.5000 0.5000 0.0000  8 V 2.69
8 Mo 0.5000 0.5000 0.5000  8 V 2.63



6.
The following is a PBE calculation of a geometry-optimized AlVMo structure, from Alexandria.

Results
E above lowest polymorph (kJ per mole of atoms): 0.0

a b c (Å): 4.8814 4.8814 4.8814
angles (deg): 141.49 141.49 55.59
Closest atoms and distances in Å follow each position.
Fractional coordinates of all 3 atoms:
1 Al 0.0000 0.0000 0.0000  5 V 2.74-2.79, 5 Mo 2.75-2.78
2 V 0.6769 0.6769 0.0000  4 Mo 2.60, 5 Al 2.74-2.79
3 Mo 0.3219 0.3219 0.0000  4 V 2.60, 5 Al 2.75-2.78



7.
The following is a PBE calculation of a geometry-optimized Al2VMo structure, from Alexandria.

Results
E above lowest polymorph (kJ per mole of atoms): 16.9

a b c (Å): 4.4029 4.4029 4.4029
angles (deg): 60.00 60.00 60.00
Closest atoms and distances in Å follow each position.
Fractional coordinates of all 4 atoms:
1 Al 0.2500 0.2500 0.2500  4 Mo 2.70, 4 V 2.70
2 Al 0.7500 0.7500 0.7500  4 V 2.70, 4 Mo 2.70
3 V 0.0000 0.0000 0.0000  8 Al 2.70
4 Mo 0.5000 0.5000 0.5000  8 Al 2.70



8.
The following is a PBE calculation of a geometry-optimized AlV4Mo structure, from Alexandria.

Results
E above lowest polymorph (kJ per mole of atoms): 1.4

a b c (Å): 4.6075 4.6075 8.7720
angles (deg): 90.19 90.19 66.96
Closest atoms and distances in Å follow each position.
Fractional coordinates of all 12 atoms:
1 Al 0.0007 0.9993 0.7500  10 V 2.63-2.81
2 Al 0.9993 0.0007 0.2500  10 V 2.63-2.81
3 V 0.1665 0.6572 0.0000  3 V 2.49-2.58, 1 Mo 2.60, 2 Al 2.63-2.64
4 V 0.3427 0.3440 0.2500  3 V 2.41-2.58, 2 Mo 2.63, 1 Al 2.64
5 V 0.3428 0.8335 0.5000  3 V 2.49-2.58, 1 Mo 2.60, 2 Al 2.63-2.64
6 V 0.3440 0.3427 0.7500  3 V 2.41-2.58, 2 Mo 2.63, 1 Al 2.64
7 V 0.6560 0.6573 0.2500  3 V 2.41-2.58, 2 Mo 2.63, 1 Al 2.64
8 V 0.6572 0.1665 0.5000  3 V 2.49-2.58, 1 Mo 2.60, 2 Al 2.63-2.64
9 V 0.6573 0.6560 0.7500  3 V 2.41-2.58, 2 Mo 2.63, 1 Al 2.64
10 V 0.8335 0.3428 0.0000  3 V 2.49-2.58, 1 Mo 2.60, 2 Al 2.63-2.64
11 Mo 0.0000 0.5000 0.5000  10 V 2.60-2.85
12 Mo 0.5000 0.0000 0.0000  10 V 2.60-2.85



Sequential energy relative to the elements output: 1173; -149; -55; 118; -148; -225; -8; 3 meV per atom
Sequential M_tot output: 0.0001; 0.0000; 0.0000; 0.0000; 0.0000; 0.0000; 0.1893; 0.0000 μB per atom